A plane-wave DFT calculation with PBE with a Hubbard U was carried out for a relaxed Li8Fe7O15 crystal.

Output
**DOS at the Fermi energy**: 0.1346 states/eV per atom
**M_tot**: 33.98 μB/cell
**Density**: 4.18 g/cm3
**Electronic total energy**: -179.18 eV per cell
**Energy above the lowest structure with this stoichiometry**: 0.0 kJ/mol of atoms
**Space group**: No. 12

Cell: 7.9243 7.9243 8.9962 Å, 101.06 101.06 29.49°
Fractional coordinates of all 30 atoms:
1 Li 0.0898 0.0898 0.1996
2 Li 0.0978 0.0978 0.5339
3 Li 0.0994 0.0994 0.8641
4 Li 0.2979 0.2979 0.2661
5 Li 0.7021 0.7021 0.7339
6 Li 0.9006 0.9006 0.1359
7 Li 0.9022 0.9022 0.4661
8 Li 0.9102 0.9102 0.8004
9 Fe 0.3009 0.3009 0.9324
10 Fe 0.3018 0.3018 0.6016
11 Fe 0.4929 0.4929 0.3334
12 Fe 0.5000 0.5000 0.0000
13 Fe 0.5071 0.5071 0.6666
14 Fe 0.6982 0.6982 0.3984
15 Fe 0.6991 0.6991 0.0676
16 O 0.0000 0.0000 0.0000
17 O 0.0055 0.0055 0.6701
18 O 0.2032 0.2032 0.4125
19 O 0.2039 0.2039 0.0567
20 O 0.2164 0.2164 0.7380
21 O 0.4026 0.4026 0.8001
22 O 0.4043 0.4043 0.1263
23 O 0.4058 0.4058 0.4795
24 O 0.5942 0.5942 0.5205
25 O 0.5957 0.5957 0.8737
26 O 0.5974 0.5974 0.1999
27 O 0.7836 0.7836 0.2620
28 O 0.7961 0.7961 0.9433
29 O 0.7968 0.7968 0.5875
30 O 0.9945 0.9945 0.3299